Material: NpVPd
Method: DFT, PBE
State: optimized geometry

Structure (POSCAR):
```
NpVPd
1.0
-1.387 1.387 6.561
1.387 -1.387 6.561
1.387 1.387 -6.561
Np V Pd
1 1 1
Cartesian
0.000 0.000 0.000
0.000 0.000 4.289
0.000 0.000 9.039
```

Results
As for the energy relative to the elements: 0.0827 eV/atom. Its excess energy over the best structure of this formula in the dataset is 0 meV/atom. The energy comes out at -9.00 eV/atom.